1.
Density functional theory data (PBE) for a relaxed IrPt3Rh3 crystal.

Unit cell a=5.394 b=5.394 c=7.740 alpha=90.00 beta=90.00 gamma=90.45
Fractional positions:
1 Ir 0.249 0.751 0.000
2 Ir 0.751 0.249 0.000
3 Pt 0.000 0.500 0.250
4 Pt 0.000 0.500 0.750
5 Pt 0.500 0.000 0.250
6 Pt 0.500 0.000 0.750
7 Pt 0.500 0.500 0.249
8 Pt 0.500 0.500 0.751
9 Rh 0.232 0.232 0.000
10 Rh 0.239 0.239 0.500
11 Rh 0.246 0.754 0.500
12 Rh 0.754 0.246 0.500
13 Rh 0.761 0.761 0.500
14 Rh 0.768 0.768 0.000

Values from the calculation:
Its energy of formation from the pure elements is 191 meV per atom. The space group is Cmmm (65).

---

2.
Density functional theory data (PBE) for a relaxed LiP2Au crystal.

Unit cell a=3.991 b=3.991 c=3.874 alpha=90.00 beta=90.00 gamma=90.00
Fractional positions:
1 Li 0.000 0.000 0.000
2 P 0.000 0.500 0.500
3 P 0.500 0.000 0.500
4 Au 0.500 0.500 0.000

Values from the calculation:
Its energy above the most stable polymorph in this dataset is 0.395 eV per atom. Its energy of formation from the pure elements is 43 meV per atom. The space group is P4/mmm (123).

---

3.
Density functional theory data (PBE) for a relaxed LaTb5Pr4 crystal.

Unit cell a=14.539 b=14.539 c=6.902 alpha=97.17 beta=97.17 gamma=13.80
Fractional positions:
1 La 0.000 0.000 0.000
2 Tb 0.000 0.000 0.500
3 Tb 0.293 0.293 0.898
4 Tb 0.295 0.295 0.397
5 Tb 0.705 0.705 0.603
6 Tb 0.707 0.707 0.102
7 Pr 0.109 0.109 0.802
8 Pr 0.404 0.404 0.696
9 Pr 0.596 0.596 0.304
10 Pr 0.891 0.891 0.198

Values from the calculation:
Its energy above the most stable polymorph in this dataset is 0.114 eV per atom. Its energy of formation from the pure elements is 131 meV per atom. The space group is C2/m (12).

---

4.
Density functional theory data (PBE) for a relaxed Y2ZrNi9 crystal.

Unit cell a=4.901 b=4.901 c=16.293 alpha=90.00 beta=90.00 gamma=120.00
Fractional positions:
1 Y 0.333 0.667 0.044
2 Y 0.333 0.667 0.456
3 Y 0.667 0.333 0.544
4 Y 0.667 0.333 0.956
5 Zr 0.333 0.667 0.250
6 Zr 0.667 0.333 0.750
7 Ni 0.000 0.000 0.000
8 Ni 0.000 0.000 0.250
9 Ni 0.000 0.000 0.500
10 Ni 0.000 0.000 0.750
11 Ni 0.167 0.333 0.629
12 Ni 0.167 0.333 0.871
13 Ni 0.167 0.833 0.629
14 Ni 0.167 0.833 0.871
15 Ni 0.333 0.167 0.129
16 Ni 0.333 0.167 0.371
17 Ni 0.333 0.667 0.750
18 Ni 0.667 0.333 0.250
19 Ni 0.667 0.833 0.629
20 Ni 0.667 0.833 0.871
21 Ni 0.833 0.167 0.129
22 Ni 0.833 0.167 0.371
23 Ni 0.833 0.667 0.129
24 Ni 0.833 0.667 0.371

Values from the calculation:
Its energy of formation from the pure elements is -370 meV per atom. The space group is P6_3/mmc (194).

---

5.
Density functional theory data (PBE) for a relaxed In2CuHg4 crystal.

Unit cell a=8.224 b=8.224 c=8.224 alpha=142.99 beta=142.99 gamma=53.34
Fractional positions:
1 In 0.122 0.122 0.000
2 In 0.878 0.878 0.000
3 Cu 0.500 0.500 0.000
4 Hg 0.000 0.500 0.500
5 Hg 0.321 0.321 0.000
6 Hg 0.500 0.000 0.500
7 Hg 0.679 0.679 0.000

Values from the calculation:
Its energy of formation from the pure elements is 141 meV per atom. The space group is I4/mmm (139).

---

6.
Density functional theory data (PBE) for a relaxed PmRhBr6 crystal.

Unit cell a=7.264 b=7.264 c=7.264 alpha=55.18 beta=55.18 gamma=55.18
Fractional positions:
1 Pm 0.000 0.000 0.000
2 Rh 0.500 0.500 0.500
3 Br 0.106 0.721 0.438
4 Br 0.279 0.562 0.894
5 Br 0.438 0.106 0.721
6 Br 0.562 0.894 0.279
7 Br 0.721 0.438 0.106
8 Br 0.894 0.279 0.562

Values from the calculation:
The calculation puts the energy relative to the elements, uncorrected at -1.01 eV/atom. The space group is R-3 (148).

---

7.
Density functional theory data (PBE) for a relaxed Pm3TmSb2 crystal.

Unit cell a=8.969 b=8.969 c=8.969 alpha=132.98 beta=72.86 gamma=127.80
Fractional positions:
1 Pm 0.041 0.750 0.291
2 Pm 0.250 0.250 0.000
3 Pm 0.459 0.750 0.709
4 Pm 0.541 0.250 0.291
5 Pm 0.750 0.750 0.000
6 Pm 0.959 0.250 0.709
7 Tm 0.000 0.500 0.500
8 Tm 0.500 0.000 0.500
9 Sb 0.145 0.181 0.326
10 Sb 0.355 0.681 0.037
11 Sb 0.645 0.319 0.963
12 Sb 0.855 0.819 0.674

Values from the calculation:
The calculation puts the energy relative to the elements, uncorrected at -0.60 eV/atom. Its energy above the most stable polymorph in this dataset is 0.219 eV per atom. The space group is Ibam (72).

---

8.
Density functional theory data (PBE) for a relaxed Pm4CoCBr2 crystal.

Unit cell a=6.993 b=3.828 c=7.797 alpha=90.00 beta=106.38 gamma=90.00
Fractional positions:
1 Pm 0.213 0.000 0.182
2 Pm 0.263 0.500 0.814
3 Pm 0.737 0.500 0.186
4 Pm 0.787 0.000 0.818
5 Co 0.500 0.000 0.000
6 C 0.000 0.500 0.000
7 Br 0.000 0.000 0.500
8 Br 0.500 0.500 0.500

Values from the calculation:
The calculation puts the energy relative to the elements, uncorrected at -0.75 eV/atom. The space group is P2/m (10).

---

9.
Density functional theory data (PBE) for a relaxed Ac2PbS crystal.

Unit cell a=6.566 b=6.567 c=12.989 alpha=90.00 beta=90.00 gamma=90.00
Fractional positions:
1 Ac 0.000 0.249 0.135
2 Ac 0.000 0.250 0.615
3 Ac 0.000 0.750 0.385
4 Ac 0.000 0.751 0.865
5 Ac 0.500 0.249 0.365
6 Ac 0.500 0.250 0.885
7 Ac 0.500 0.750 0.115
8 Ac 0.500 0.751 0.635
9 Pb 0.000 0.251 0.875
10 Pb 0.000 0.749 0.125
11 Pb 0.500 0.251 0.625
12 Pb 0.500 0.749 0.375
13 S 0.000 0.249 0.375
14 S 0.000 0.751 0.625
15 S 0.500 0.249 0.125
16 S 0.500 0.751 0.875

Values from the calculation:
The calculation puts the energy relative to the elements, uncorrected at -1.22 eV/atom. Its energy above the most stable polymorph in this dataset is 0.000 eV per atom. The space group is Pmna (53).

---

10.
Density functional theory data (PBE) for a relaxed Dy6Er3Zr crystal.

Unit cell a=4.878 b=11.393 c=11.375 alpha=90.00 beta=90.05 gamma=90.00
Fractional positions:
1 Dy 0.000 0.001 0.214
2 Dy 0.000 0.214 0.999
3 Dy 0.000 0.286 0.499
4 Dy 0.000 0.499 0.714
5 Dy 0.000 0.501 0.286
6 Dy 0.000 0.714 0.501
7 Dy 0.000 0.786 0.001
8 Dy 0.000 0.999 0.786
9 Dy 0.500 0.148 0.648
10 Dy 0.500 0.352 0.148
11 Dy 0.500 0.648 0.852
12 Dy 0.500 0.852 0.352
13 Er 0.500 0.000 0.000
14 Er 0.500 0.146 0.354
15 Er 0.500 0.354 0.854
16 Er 0.500 0.500 0.500
17 Er 0.500 0.646 0.146
18 Er 0.500 0.854 0.646
19 Zr 0.000 0.000 0.500
20 Zr 0.000 0.500 0.000

Values from the calculation:
Its energy of formation from the pure elements is 209 meV per atom. The space group is P2_1/c (14).

---

11.
Density functional theory data (PBE) for a relaxed La2InHgGe crystal.

Unit cell a=4.502 b=4.502 c=14.770 alpha=90.00 beta=90.00 gamma=90.00
Fractional positions:
1 La 0.250 0.250 0.103
2 La 0.250 0.250 0.692
3 La 0.750 0.750 0.308
4 La 0.750 0.750 0.897
5 In 0.250 0.750 0.500
6 In 0.750 0.250 0.500
7 Hg 0.250 0.250 0.354
8 Hg 0.750 0.750 0.646
9 Ge 0.250 0.250 0.892
10 Ge 0.750 0.750 0.108

Values from the calculation:
Its energy of formation from the pure elements is -575 meV per atom. The space group is P4/nmm (129).

---

12.
Density functional theory data (PBE) for a relaxed LiTlS2 crystal.

Unit cell a=8.071 b=8.071 c=5.184 alpha=90.00 beta=90.00 gamma=147.84
Fractional positions:
1 Li 0.228 0.772 0.500
2 Li 0.772 0.228 0.000
3 Tl 0.421 0.579 0.191
4 Tl 0.579 0.421 0.691
5 S 0.091 0.909 0.246
6 S 0.202 0.798 0.005
7 S 0.798 0.202 0.505
8 S 0.909 0.091 0.746

Values from the calculation:
The calculation puts the energy relative to the elements, uncorrected at -0.56 eV/atom. The space group is Cmc2_1 (36).